4
Lattice="3.191 0.000 0.000 0.000 3.191 0.000 0.000 0.000 7.538" Properties=species:S:1:pos:R:3 comment="SrRhW2 meta-GGA SCAN PBEsol geometry" e_tot_ev_per_cell=-193.34 vol_a3_per_fu=76.8 delta_e_f_ev_per_atom=0.52 magnetic_moment_mub_per_cell=0.00 dos_at_fermi_per_ev_cell=5.01 sg="P4mm, No. 99" pbc="T T T"
Sr 0.000 0.000 0.000
Rh 1.596 1.596 5.322
W 0.000 0.000 3.798
W 1.596 1.596 2.458